Record 1
Entry from OQMD: a geometry-optimized NdFe3 structure (GGA-PBE).

```
data_NdFe3
_chemical_formula_sum 'Nd1 Fe3'
_symmetry_space_group_name_H-M 'P 1'
_symmetry_Int_Tables_number 1
_symmetry_space_group_name_Hall 'P 1'
_cell_length_a 4.464
_cell_length_b 4.464
_cell_length_c 4.464
_cell_angle_alpha 60.00
_cell_angle_beta 60.00
_cell_angle_gamma 60.00
loop_
_atom_site_label
_atom_site_fract_x
_atom_site_fract_y
_atom_site_fract_z
Fe1 0.000 0.000 0.000
Fe2 0.250 0.250 0.250
Fe3 0.500 0.500 0.500
Nd1 0.750 0.750 0.750
```

Summary:
The total magnetization comes out at 1.594 μB/atom. As for the calculated formation energy: 0.42 eV per atom.

=====

Record 2
Entry from OQMD: a geometry-optimized Y2Ho2CBr4Cl structure (GGA-PBE).

```
data_Y2Ho2CBr4Cl
_chemical_formula_sum 'Y2 Ho2 C1 Br4 Cl1'
_symmetry_space_group_name_H-M 'P 1'
_symmetry_Int_Tables_number 1
_symmetry_space_group_name_Hall 'P 1'
_cell_length_a 9.067
_cell_length_b 9.067
_cell_length_c 7.879
_cell_angle_alpha 102.46
_cell_angle_beta 102.46
_cell_angle_gamma 23.97
loop_
_atom_site_label
_atom_site_fract_x
_atom_site_fract_y
_atom_site_fract_z
Br1 0.830 0.830 0.182
Br2 0.163 0.163 0.350
Br3 0.837 0.837 0.650
Br4 0.170 0.170 0.818
C1 0.500 0.500 0.000
Cl1 0.500 0.500 0.500
Ho1 0.999 0.999 0.207
Ho2 0.001 0.001 0.793
Y1 0.639 0.639 0.073
Y2 0.361 0.361 0.927
```

Summary:
Its total energy is -5.46 eV/atom. The total magnetization comes out at 0.012 μB/atom.

=====

Record 3
Entry from OQMD: a geometry-optimized TbOsPb2O6 structure (GGA-PBE).

```
data_TbOsPb2O6
_chemical_formula_sum 'Tb2 Os2 Pb4 O12'
_symmetry_space_group_name_H-M 'P 1'
_symmetry_Int_Tables_number 1
_symmetry_space_group_name_Hall 'P 1'
_cell_length_a 5.916
_cell_length_b 5.776
_cell_length_c 10.026
_cell_angle_alpha 90.00
_cell_angle_beta 125.26
_cell_angle_gamma 90.00
loop_
_atom_site_label
_atom_site_fract_x
_atom_site_fract_y
_atom_site_fract_z
O1 0.833 0.741 0.043
O2 0.802 0.218 0.051
O3 0.312 0.998 0.232
O4 0.688 0.498 0.268
O5 0.198 0.718 0.449
O6 0.167 0.241 0.457
O7 0.833 0.759 0.543
O8 0.802 0.282 0.551
O9 0.312 0.502 0.732
O10 0.688 0.002 0.768
O11 0.198 0.782 0.949
O12 0.167 0.259 0.957
Os1 0.000 0.000 0.000
Os2 0.000 0.500 0.500
Pb1 0.232 0.493 0.246
Pb2 0.768 0.993 0.254
Pb3 0.232 0.007 0.746
Pb4 0.768 0.507 0.754
Tb1 0.500 0.500 0.000
Tb2 0.500 0.000 0.500
```

Summary:
Its total energy is -6.95 eV/atom. The total magnetization comes out at 0.288 μB/atom.

=====

Record 4
Entry from OQMD: a geometry-optimized YAg2 structure (GGA-PBE).

```
data_YAg2
_chemical_formula_sum 'Y1 Ag2'
_symmetry_space_group_name_H-M 'P 1'
_symmetry_Int_Tables_number 1
_symmetry_space_group_name_Hall 'P 1'
_cell_length_a 5.327
_cell_length_b 5.327
_cell_length_c 3.730
_cell_angle_alpha 69.51
_cell_angle_beta 69.50
_cell_angle_gamma 40.99
loop_
_atom_site_label
_atom_site_fract_x
_atom_site_fract_y
_atom_site_fract_z
Ag1 0.830 0.830 0.170
Ag2 0.170 0.170 0.830
Y1 0.500 0.500 0.500
```

Summary:
The total magnetization comes out at 0.001 μB/atom. As for the calculated formation energy: -0.33 eV per atom.

=====

Record 5
Entry from OQMD: a geometry-optimized PrSmPa2Se3O4 structure (GGA-PBE).

```
data_PrSmPa2Se3O4
_chemical_formula_sum 'Pr1 Sm1 Pa2 Se3 O4'
_symmetry_space_group_name_H-M 'P 1'
_symmetry_Int_Tables_number 1
_symmetry_space_group_name_Hall 'P 1'
_cell_length_a 8.865
_cell_length_b 6.487
_cell_length_c 6.487
_cell_angle_alpha 34.58
_cell_angle_beta 90.00
_cell_angle_gamma 90.00
loop_
_atom_site_label
_atom_site_fract_x
_atom_site_fract_y
_atom_site_fract_z
O1 0.248 0.089 0.089
O2 0.752 0.089 0.089
O3 0.000 0.582 0.582
O4 0.500 0.635 0.635
Pa1 0.240 0.689 0.689
Pa2 0.760 0.689 0.689
Pr1 0.500 0.002 0.002
Se1 0.000 0.279 0.279
Se2 0.310 0.377 0.377
Se3 0.690 0.377 0.377
Sm1 0.000 0.987 0.987
```

Summary:
Its total energy is -7.68 eV/atom. The total magnetization comes out at 0.181 μB/atom.

=====

Record 6
Entry from OQMD: a geometry-optimized RbZrAgTe2S structure (GGA-PBE).

```
data_RbZrAgTe2S
_chemical_formula_sum 'Rb2 Zr2 Ag2 Te4 S2'
_symmetry_space_group_name_H-M 'P 1'
_symmetry_Int_Tables_number 1
_symmetry_space_group_name_Hall 'P 1'
_cell_length_a 8.949
_cell_length_b 4.107
_cell_length_c 10.513
_cell_angle_alpha 90.00
_cell_angle_beta 112.36
_cell_angle_gamma 90.00
loop_
_atom_site_label
_atom_site_fract_x
_atom_site_fract_y
_atom_site_fract_z
Ag1 0.925 0.750 0.392
Ag2 0.075 0.250 0.608
Rb1 0.268 0.250 0.267
Rb2 0.732 0.750 0.733
S1 0.478 0.750 0.124
S2 0.522 0.250 0.876
Te1 0.899 0.750 0.121
Te2 0.728 0.250 0.435
Te3 0.272 0.750 0.565
Te4 0.101 0.250 0.879
Zr1 0.670 0.250 0.144
Zr2 0.330 0.750 0.856
```

Summary:
Its total energy is -4.76 eV/atom. The total magnetization comes out at 0.001 μB/atom.

=====

Record 7
Entry from OQMD: a geometry-optimized Nd2GdTa2As6 structure (GGA-PBE).

```
data_Nd2GdTa2As6
_chemical_formula_sum 'Nd2 Gd1 Ta2 As6'
_symmetry_space_group_name_H-M 'P 1'
_symmetry_Int_Tables_number 1
_symmetry_space_group_name_Hall 'P 1'
_cell_length_a 12.306
_cell_length_b 12.306
_cell_length_c 12.306
_cell_angle_alpha 157.17
_cell_angle_beta 157.17
_cell_angle_gamma 32.51
loop_
_atom_site_label
_atom_site_fract_x
_atom_site_fract_y
_atom_site_fract_z
As1 0.290 0.290 0.000
As2 0.710 0.710 0.000
As3 0.578 0.078 0.500
As4 0.922 0.422 0.500
As5 0.078 0.578 0.500
As6 0.422 0.922 0.500
Gd1 0.000 0.000 0.000
Nd1 0.165 0.165 0.000
Nd2 0.835 0.835 0.000
Ta1 0.392 0.392 0.000
Ta2 0.608 0.608 0.000
```

Summary:
Its total energy is -6.73 eV/atom. The total magnetization comes out at 0.001 μB/atom.

=====

Record 8
Entry from OQMD: a geometry-optimized K2AgSb structure (GGA-PBE).

```
data_K2AgSb
_chemical_formula_sum 'K4 Ag2 Sb2'
_symmetry_space_group_name_H-M 'P 1'
_symmetry_Int_Tables_number 1
_symmetry_space_group_name_Hall 'P 1'
_cell_length_a 6.717
_cell_length_b 6.717
_cell_length_c 6.311
_cell_angle_alpha 90.00
_cell_angle_beta 90.00
_cell_angle_gamma 76.88
loop_
_atom_site_label
_atom_site_fract_x
_atom_site_fract_y
_atom_site_fract_z
Ag1 0.000 0.000 0.000
Ag2 0.000 0.000 0.500
K1 0.474 0.180 0.250
K2 0.820 0.526 0.250
K3 0.180 0.474 0.750
K4 0.526 0.820 0.750
Sb1 0.266 0.734 0.250
Sb2 0.734 0.266 0.750
```

Summary:
Its total energy is -2.70 eV/atom.

=====

Record 9
Entry from OQMD: a geometry-optimized Dy2HoFe6CoNi2 structure (GGA-PBE).

```
data_Dy2HoFe6CoNi2
_chemical_formula_sum 'Dy2 Ho1 Fe6 Co1 Ni2'
_symmetry_space_group_name_H-M 'P 1'
_symmetry_Int_Tables_number 1
_symmetry_space_group_name_Hall 'P 1'
_cell_length_a 8.709
_cell_length_b 8.709
_cell_length_c 8.709
_cell_angle_alpha 33.22
_cell_angle_beta 33.22
_cell_angle_gamma 33.22
loop_
_atom_site_label
_atom_site_fract_x
_atom_site_fract_y
_atom_site_fract_z
Co1 0.500 0.500 0.500
Dy1 0.142 0.142 0.142
Dy2 0.858 0.858 0.858
Fe1 0.582 0.582 0.082
Fe2 0.918 0.418 0.418
Fe3 0.418 0.918 0.418
Fe4 0.582 0.082 0.582
Fe5 0.082 0.582 0.582
Fe6 0.418 0.418 0.918
Ho1 0.000 0.000 0.000
Ni1 0.333 0.333 0.333
Ni2 0.667 0.667 0.667
```

Summary:
The total magnetization comes out at 1.166 μB/atom. As for the calculated formation energy: -0.15 eV per atom.

=====

Record 10
Entry from OQMD: a geometry-optimized LaTb2Sn5Pb2 structure (GGA-PBE).

```
data_LaTb2Sn5Pb2
_chemical_formula_sum 'La1 Tb2 Sn5 Pb2'
_symmetry_space_group_name_H-M 'P 1'
_symmetry_Int_Tables_number 1
_symmetry_space_group_name_Hall 'P 1'
_cell_length_a 12.935
_cell_length_b 12.935
_cell_length_c 4.681
_cell_angle_alpha 90.00
_cell_angle_beta 90.00
_cell_angle_gamma 159.28
loop_
_atom_site_label
_atom_site_fract_x
_atom_site_fract_y
_atom_site_fract_z
La1 0.000 0.000 0.000
Pb1 0.706 0.294 0.500
Pb2 0.294 0.706 0.500
Sn1 0.597 0.403 0.000
Sn2 0.403 0.597 0.000
Sn3 0.903 0.097 0.500
Sn4 0.500 0.500 0.500
Sn5 0.097 0.903 0.500
Tb1 0.815 0.185 0.000
Tb2 0.185 0.815 0.000
```

Summary:
Its total energy is -4.69 eV/atom. The total magnetization comes out at 0.001 μB/atom.